A plane-wave DFT calculation with PBE was carried out for a relaxed structure of Zn2ReW.

Output
Symmetry ... F-43m, No. 216
Energy of formation ... 25 kJ/mol of atoms

abc: 4.384 4.384 4.384
angles: 60.00 60.00 60.00
Fractional positions:
1 Re 0.500 0.500 0.500
2 W 0.750 0.750 0.750
3 Zn 0.000 0.000 0.000
4 Zn 0.250 0.250 0.250